The following is a GGA-PBEsol calculation of crystalline SiHg4S6 at its relaxed geometry, from Alexandria via LeMat-Bulk.

a = 7.0971 Å, b = 7.1020 Å, c = 12.2425 Å
α = 73.49°, β = 73.15°, γ = 60.02°
With the nearest neighbours (Å) after each atom.
Fractional coordinates of all 22 atoms:
S1 0.9766 0.8358 0.7339  4 Hg 2.51-2.60
Hg1 0.0946 0.3399 0.3484  4 S 2.52-2.61
Hg2 0.3313 0.7528 0.1919  4 S 2.52-2.71
S2 0.0275 0.9020 0.0563  1 Si 2.12
S3 0.7443 0.6694 0.2860  1 Si 2.14
S4 0.0342 0.3873 0.0563  1 Si 2.12
Hg3 0.9212 0.4964 0.8562  4 S 2.51-2.63
S5 0.0925 0.9714 0.3536  4 Hg 2.51-2.61
S6 0.5825 0.4714 0.8536  4 Hg 2.51-2.61
S7 0.5221 0.8873 0.5563  1 Si 2.12
Si1 0.8619 0.7045 0.1036  4 S 2.12-2.15
S8 0.5279 0.3737 0.5206  1 Si 2.15
Hg4 0.7240 0.2528 0.6919  4 S 2.52-2.71
Hg5 0.2172 0.8399 0.8484  4 S 2.52-2.61
Hg6 0.7262 0.9964 0.3562  4 S 2.51-2.63
Hg7 0.2298 0.7666 0.5425  4 S 2.51-2.67
S9 0.3002 0.1694 0.7860  1 Si 2.14
S10 0.5778 0.8737 0.0206  1 Si 2.15
Hg8 0.4612 0.2666 0.0425  4 S 2.51-2.67
S11 0.0142 0.4020 0.5563  1 Si 2.12
Si2 0.3300 0.2045 0.6036  4 S 2.12-2.15
S12 0.4537 0.3358 0.2339  4 Hg 2.51-2.60

## Properties
**Total energy**: -3.4231 eV/atom
**Magnetization**: 0.0 μB per formula unit

=====

The following is a GGA-PBEsol calculation of crystalline BaLa2Ir at its relaxed geometry, from Alexandria via LeMat-Bulk.

a = 3.9527 Å, b = 4.2762 Å, c = 8.7625 Å
α = 104.12°, β = 90.00°, γ = 90.00°
With the nearest neighbours (Å) after each atom.
Fractional coordinates of all 4 atoms:
La1 0.0000 0.9804 0.9607  4 Ir 2.92
Ir1 0.5000 0.4913 0.9826  5 La 2.65-2.92
La2 0.5000 0.3356 0.6712  1 Ir 2.65
Ba1 0.0000 0.6625 0.3251  2 Ir 3.52, 2 La 3.76

## Properties
**E_form**: -232 meV/atom
**Total energy**: -5.8980 eV/atom
**Magnetization**: 0.0 μB per formula unit
**Relative energy among the computed polymorphs**: 0.157 eV per atom

=====

The following is a GGA-PBEsol calculation of crystalline ZrHg2 at its relaxed geometry, from Alexandria via LeMat-Bulk.

a = 3.3542 Å, b = 6.2941 Å, c = 6.5013 Å
α = 106.84°, β = 90.00°, γ = 105.45°
With the nearest neighbours (Å) after each atom.
Fractional coordinates of all 6 atoms:
Hg1 0.8378 0.6757 0.4160  4 Zr 2.97-3.28, 6 Hg 3.00-3.15
Hg2 0.4996 0.9991 0.2426  8 Hg 3.00-3.35, 4 Zr 3.01-3.04
Hg3 0.5004 0.0009 0.7574  8 Hg 3.00-3.35, 4 Zr 3.01-3.04
Zr1 0.8305 0.6611 0.9081  8 Hg 2.97-3.28, 2 Zr 3.08
Zr2 0.1695 0.3389 0.0919  8 Hg 2.97-3.28, 2 Zr 3.08
Hg4 0.1622 0.3243 0.5840  4 Zr 2.97-3.28, 6 Hg 3.00-3.15

## Properties
**E_form**: -150 meV/atom
**Total energy**: -3.5577 eV/atom
**Magnetization**: 0.0 μB per formula unit

=====

The following is a GGA-PBEsol calculation of crystalline CeRe4Si2 at its relaxed geometry, from Alexandria via LeMat-Bulk.

a = 4.0337 Å, b = 4.1004 Å, c = 7.2583 Å
α = 73.59°, β = 90.00°, γ = 90.00°
With the nearest neighbours (Å) after each atom.
Fractional coordinates of all 7 atoms:
Si1 0.5000 0.4135 0.1731  1 Si 2.41, 4 Re 2.47-2.51
Si2 0.5000 0.5865 0.8269  1 Si 2.41, 4 Re 2.47-2.51
Re1 0.5000 0.8141 0.3718  2 Si 2.47, 4 Re 2.62-2.72
Re2 0.0000 0.6941 0.6118  2 Si 2.51, 4 Re 2.57-2.62
Re3 0.0000 0.3059 0.3882  2 Si 2.51, 4 Re 2.57-2.62
Re4 0.5000 0.1859 0.6282  2 Si 2.47, 4 Re 2.62-2.72
Ce1 0.0000 0.0000 0.0000  8 Si 3.12, 8 Re 3.28-3.39

## Properties
**Total energy**: -10.6675 eV/atom
**Magnetization**: 0.0 μB per formula unit

=====

The following is a GGA-PBEsol calculation of crystalline ZrSc2Ta at its relaxed geometry, from Alexandria via LeMat-Bulk.

a = 3.0211 Å, b = 4.5200 Å, c = 6.1026 Å
α = 90.00°, β = 90.00°, γ = 90.00°
With the nearest neighbours (Å) after each atom.
Fractional coordinates of all 4 atoms:
Sc1 0.0000 0.0000 0.7609  4 Sc 2.92-3.18, 4 Ta 3.09, 4 Zr 3.15
Zr1 0.5000 0.5000 0.5000  2 Zr 3.02, 2 Ta 3.05, 8 Sc 3.15
Sc2 0.0000 0.0000 0.2391  4 Sc 2.92-3.18, 4 Ta 3.09, 4 Zr 3.15
Ta1 0.5000 0.5000 0.0000  2 Ta 3.02, 2 Zr 3.05, 8 Sc 3.09

## Properties
**E_form**: 154 meV/atom
**Total energy**: -8.5586 eV/atom
**Magnetization**: 0.0 μB per formula unit

=====

The following is a GGA-PBEsol calculation of crystalline ScBe2Al at its relaxed geometry, from Alexandria via LeMat-Bulk.

a = 2.8333 Å, b = 2.8333 Å, c = 6.6635 Å
α = 90.00°, β = 90.00°, γ = 90.00°
With the nearest neighbours (Å) after each atom.
Fractional coordinates of all 4 atoms:
Be1 0.5000 0.5000 0.1898  4 Be 2.24
Sc1 0.0000 0.0000 0.4712  5 Be 2.74-2.88, 4 Sc 2.83, 4 Al 2.97
Be2 0.0000 0.0000 0.0394  4 Be 2.24
Al1 0.5000 0.5000 0.7996  5 Be 2.56-2.60, 4 Al 2.83

## Properties
**E_form**: -13 meV/atom
**Total energy**: -4.6868 eV/atom
**Magnetization**: 0.3 μB per formula unit

=====

The following is a GGA-PBEsol calculation of crystalline CrH2 at its relaxed geometry, from Alexandria via LeMat-Bulk.

a = 4.1180 Å, b = 4.1180 Å, c = 4.1180 Å
α = 60.00°, β = 60.00°, γ = 60.00°
With the nearest neighbours (Å) after each atom.
Fractional coordinates of all 9 atoms:
H1 0.2820 0.7180 0.7180  1 Cr 1.64, 4 H 1.80
H2 0.7180 0.2820 0.2820  1 Cr 1.64, 4 H 1.80
H3 0.7180 0.7180 0.2820  1 Cr 1.64, 4 H 1.80
H4 0.7180 0.2820 0.7180  1 Cr 1.64, 4 H 1.80
Cr1 0.7500 0.7500 0.7500  12 H 2.07
H5 0.2820 0.7180 0.2820  1 Cr 1.64, 4 H 1.80
H6 0.2820 0.2820 0.7180  1 Cr 1.64, 4 H 1.80
Cr2 0.0000 0.0000 0.0000  6 H 1.64
Cr3 0.2500 0.2500 0.2500  12 H 2.07

## Properties
**Total energy**: -5.4875 eV/atom
**Magnetization**: 0.6 μB per formula unit

=====

The following is a GGA-PBEsol calculation of crystalline DyCo5 at its relaxed geometry, from Alexandria via LeMat-Bulk.

a = 3.8893 Å, b = 4.8209 Å, c = 4.8209 Å
α = 120.00°, β = 90.00°, γ = 90.00°
With the nearest neighbours (Å) after each atom.
Fractional coordinates of all 6 atoms:
Dy1 0.0000 0.0000 0.0000  18 Co 2.78-3.10
Co1 0.0000 0.6667 0.3333  6 Co 2.39
Co2 0.5000 0.5000 0.0000  8 Co 2.39-2.41
Co3 0.5000 0.5000 0.5000  8 Co 2.39-2.41
Co4 0.5000 0.0000 0.5000  8 Co 2.39-2.41
Co5 0.0000 0.3333 0.6667  6 Co 2.39

## Properties
**E_form**: -98 meV/atom
**Total energy**: -7.3749 eV/atom
**Magnetization**: 6.9 μB per formula unit